Density functional theory data (GGA+U) for a relaxed VCdTeO6 crystal.

abc: 5.207 5.207 9.783
angles: 90.00 90.00 120.00
Site moments in Bohr magnetons follow the coordinates.
Positions (direct):
Te  0.667  0.333  0.750  0.02
Te  0.333  0.667  0.250  0.02
V  0.333  0.667  0.750  1.01
V  0.667  0.333  0.250  1.01
Cd  0.000  0.000  0.000  0.00
Cd  0.000  0.000  0.500  0.00
O  0.627  0.626  0.640  -0.01
O  0.002  0.374  0.140  -0.01
O  0.626  0.627  0.140  -0.01
O  0.627  0.002  0.860  -0.01
O  0.373  0.998  0.140  -0.01
O  0.373  0.374  0.360  -0.01
O  0.626  0.998  0.360  -0.01
O  0.374  0.002  0.640  -0.01
O  0.998  0.373  0.640  -0.01
O  0.002  0.627  0.360  -0.01
O  0.374  0.373  0.860  -0.01
O  0.998  0.626  0.860  -0.01

VASP energy: -53.67 eV per formula unit